[1]
{
  "formula": "Tb5InPb4",
  "functional": "PBE",
  "state": "relaxed",
  "sg": "No. 79",
  "formation_enthalpy_0k_ev_per_fu": -3.2,
  "lattice_angstrom": [[-4.908, 4.908, 3.192], [4.908, -4.908, 3.192], [4.908, 4.908, -3.192]],
  "species": ["Tb", "Tb", "Tb", "Tb", "Tb", "In", "Pb", "Pb", "Pb", "Pb"],
  "fractional_positions": [[0.000, 0.000, 0.000], [0.007, 0.788, 0.405], [0.383, 0.602, 0.595], [0.602, 0.007, 0.219], [0.788, 0.383, 0.781], [0.501, 0.501, 0.000], [0.093, 0.478, 0.178], [0.300, 0.915, 0.822], [0.478, 0.300, 0.385], [0.915, 0.093, 0.615]]
}

[2]
{
  "formula": "RbNa2Pd",
  "functional": "PBE",
  "state": "relaxed",
  "relative_energy_mev_per_atom": 148,
  "sg": "No. 166",
  "formation_enthalpy_0k_ev_per_fu": 0.8,
  "lattice_angstrom": [[4.654, 0.000, 0.000], [-2.327, 4.030, 0.000], [0.000, 0.000, 28.778]],
  "species": ["Rb", "Rb", "Rb", "Na", "Na", "Na", "Na", "Na", "Na", "Pd", "Pd", "Pd"],
  "fractional_positions": [[0.000, 0.000, 0.000], [0.333, 0.667, 0.667], [0.667, 0.333, 0.333], [0.000, 0.000, 0.131], [0.000, 0.000, 0.869], [0.333, 0.667, 0.536], [0.333, 0.667, 0.798], [0.667, 0.333, 0.202], [0.667, 0.333, 0.464], [0.000, 0.000, 0.500], [0.333, 0.667, 0.167], [0.667, 0.333, 0.833]]
}

[3]
{
  "formula": "LiCu2Ag2Au5",
  "functional": "PBE",
  "state": "relaxed",
  "sg": "No. 127",
  "formation_enthalpy_0k_ev_per_fu": -0.7,
  "lattice_angstrom": [[9.271, 0.000, 0.000], [0.000, 9.271, 0.000], [0.000, 0.000, 4.040]],
  "species": ["Li", "Li", "Cu", "Cu", "Cu", "Cu", "Ag", "Ag", "Ag", "Ag", "Au", "Au", "Au", "Au", "Au", "Au", "Au", "Au", "Au", "Au"],
  "fractional_positions": [[0.000, 0.000, 0.000], [0.500, 0.500, 0.000], [0.125, 0.375, 0.000], [0.375, 0.875, 0.000], [0.625, 0.125, 0.000], [0.875, 0.625, 0.000], [0.170, 0.670, 0.000], [0.330, 0.170, 0.000], [0.670, 0.830, 0.000], [0.830, 0.330, 0.000], [0.000, 0.500, 0.500], [0.082, 0.195, 0.500], [0.195, 0.918, 0.500], [0.305, 0.418, 0.500], [0.418, 0.695, 0.500], [0.500, 0.000, 0.500], [0.582, 0.305, 0.500], [0.695, 0.582, 0.500], [0.805, 0.082, 0.500], [0.918, 0.805, 0.500]]
}

[4]
{
  "formula": "Ca2VAg",
  "functional": "PBE",
  "state": "relaxed",
  "relative_energy_mev_per_atom": 236,
  "sg": "No. 122",
  "formation_enthalpy_0k_ev_per_fu": 2.2,
  "lattice_angstrom": [[8.276, 0.000, 0.000], [0.000, 8.276, 0.000], [0.000, 0.000, 6.441]],
  "species": ["Ca", "Ca", "Ca", "Ca", "Ca", "Ca", "Ca", "Ca", "V", "V", "V", "V", "Ag", "Ag", "Ag", "Ag"],
  "fractional_positions": [[0.229, 0.750, 0.125], [0.250, 0.229, 0.875], [0.250, 0.271, 0.375], [0.271, 0.750, 0.625], [0.729, 0.250, 0.625], [0.750, 0.729, 0.375], [0.750, 0.771, 0.875], [0.771, 0.250, 0.125], [0.000, 0.000, 0.500], [0.000, 0.500, 0.750], [0.500, 0.000, 0.250], [0.500, 0.500, 0.000], [0.000, 0.000, 0.000], [0.000, 0.500, 0.250], [0.500, 0.000, 0.750], [0.500, 0.500, 0.500]]
}

[5]
{
  "formula": "SmEuZnSi",
  "functional": "PBE",
  "state": "relaxed",
  "e_form_raw_ev_per_atom": -0.39,
  "sg": "No. 216",
  "lattice_angstrom": [[7.278, 0.000, 0.000], [0.000, 7.278, 0.000], [0.000, 0.000, 7.278]],
  "species": ["Sm", "Sm", "Sm", "Sm", "Eu", "Eu", "Eu", "Eu", "Zn", "Zn", "Zn", "Zn", "Si", "Si", "Si", "Si"],
  "fractional_positions": [[0.000, 0.000, 0.000], [0.000, 0.500, 0.500], [0.500, 0.000, 0.500], [0.500, 0.500, 0.000], [0.000, 0.000, 0.500], [0.000, 0.500, 0.000], [0.500, 0.000, 0.000], [0.500, 0.500, 0.500], [0.250, 0.250, 0.250], [0.250, 0.750, 0.750], [0.750, 0.250, 0.750], [0.750, 0.750, 0.250], [0.250, 0.250, 0.750], [0.250, 0.750, 0.250], [0.750, 0.250, 0.250], [0.750, 0.750, 0.750]]
}

[6]
{
  "formula": "Mg2FeW",
  "functional": "PBE",
  "state": "relaxed",
  "relative_energy_mev_per_atom": 267,
  "sg": "No. 166",
  "formation_enthalpy_0k_ev_per_fu": 1.8,
  "lattice_angstrom": [[2.832, 0.000, 0.000], [-1.416, 2.452, 0.000], [0.000, 0.000, 28.467]],
  "species": ["Mg", "Mg", "Mg", "Mg", "Mg", "Mg", "Fe", "Fe", "Fe", "W", "W", "W"],
  "fractional_positions": [[0.000, 0.000, 0.246], [0.000, 0.000, 0.754], [0.333, 0.667, 0.421], [0.333, 0.667, 0.912], [0.667, 0.333, 0.088], [0.667, 0.333, 0.579], [0.000, 0.000, 0.500], [0.333, 0.667, 0.167], [0.667, 0.333, 0.833], [0.000, 0.000, 0.000], [0.333, 0.667, 0.667], [0.667, 0.333, 0.333]]
}

[7]
{
  "formula": "KLaSb2",
  "functional": "PBE",
  "state": "relaxed",
  "relative_energy_mev_per_atom": 182,
  "e_form_raw_ev_per_atom": -0.57,
  "sg": "No. 8",
  "lattice_angstrom": [[12.916, 0.000, 0.000], [0.000, 3.438, 0.000], [-0.388, 0.000, 5.940]],
  "species": ["K", "K", "La", "La", "Sb", "Sb", "Sb", "Sb"],
  "fractional_positions": [[0.000, 0.000, 0.000], [0.500, 0.500, 0.000], [0.258, 0.500, 0.522], [0.758, 0.000, 0.522], [0.257, 0.000, 0.025], [0.481, 0.000, 0.495], [0.757, 0.500, 0.025], [0.981, 0.500, 0.495]]
}

[8]
{
  "formula": "AcGdDyTh",
  "functional": "PBE",
  "state": "relaxed",
  "sg": "No. 216",
  "formation_enthalpy_0k_ev_per_fu": 0.6,
  "lattice_angstrom": [[8.231, 0.000, 0.000], [0.000, 8.231, 0.000], [0.000, 0.000, 8.231]],
  "species": ["Ac", "Ac", "Ac", "Ac", "Gd", "Gd", "Gd", "Gd", "Dy", "Dy", "Dy", "Dy", "Th", "Th", "Th", "Th"],
  "fractional_positions": [[0.000, 0.000, 0.000], [0.000, 0.500, 0.500], [0.500, 0.000, 0.500], [0.500, 0.500, 0.000], [0.250, 0.250, 0.750], [0.250, 0.750, 0.250], [0.750, 0.250, 0.250], [0.750, 0.750, 0.750], [0.250, 0.250, 0.250], [0.250, 0.750, 0.750], [0.750, 0.250, 0.750], [0.750, 0.750, 0.250], [0.000, 0.000, 0.500], [0.000, 0.500, 0.000], [0.500, 0.000, 0.000], [0.500, 0.500, 0.500]]
}